## HfTiMoO6 (GGA+U)

Data for a geometry-optimized HfTiMoO6 structure.

Structure (POSCAR):
```
HfTiMoO6
1.0
4.763 0.000 0.000
0.000 4.763 0.000
0.000 0.000 9.412
Hf Ti Mo O
2 2 2 12
direct
0.000 0.000 0.000
0.500 0.500 0.500
0.000 0.000 0.663
0.500 0.500 0.163
0.000 0.000 0.331
0.500 0.500 0.831
0.192 0.192 0.506
0.196 0.196 0.827
0.206 0.206 0.166
0.294 0.706 0.666
0.304 0.696 0.327
0.308 0.692 0.006
0.692 0.308 0.006
0.696 0.304 0.327
0.706 0.294 0.666
0.794 0.794 0.166
0.804 0.804 0.827
0.808 0.808 0.506
```

Properties
uncorrected energy = -0.324 hartree per atom
total magnetization = 2.00 μB per formula unit